Hf2SnO | GGA-PBEsol | optimized geometry

Output
theoretical density	11.7	Mg/m³
ΔE_f (raw)	-0.3799	eV per atom

The structure in CIF format:
```
data_Hf2SnO
_cell_length_a 6.538
_cell_length_b 6.538
_cell_length_c 6.538
_cell_angle_alpha 90.00
_cell_angle_beta 90.00
_cell_angle_gamma 90.00
_space_group_name_H-M_alt 'F m -3 m'
_space_group_IT_number 225
_space_group_name_Hall '-F 4 2 3'
loop_
_atom_site_label
_atom_site_type_symbol
_atom_site_fract_x
_atom_site_fract_y
_atom_site_fract_z
Hf1 Hf 0.250 0.250 0.250
Sn1 Sn 0.000 0.000 0.000
O1 O 0.000 0.000 0.500
```